Record 1
## Sr2LiPd (PBE)

Data for a relaxed Sr2LiPd crystal.

Cell lengths 3.8233, 3.8233, 18.0554 Å; angles 90.00, 90.00, 90.00 degrees
With the nearest neighbours (Å) after each atom.
Space group I4/mmm (No. 139)
Symmetry-distinct sites (fractional):
Sr 0.0000 0.0000 0.1572 x4  1 Pd 2.84
Li 0.0000 0.0000 0.5000 x2  4 Pd 2.70
Pd 0.0000 0.0000 0.0000 x2  4 Li 2.70, 2 Sr 2.84

Formation energy = -0.10 eV per atom

Record 2
## Sr3Li2Pd4 (PBE)

Data for a relaxed Sr3Li2Pd4 crystal.

Cell lengths 11.0939, 4.5354, 8.8559 Å; angles 90.00, 108.44, 90.00 degrees
With the nearest neighbours (Å) after each atom.
Space group C2/m (No. 12)
Symmetry-distinct sites (fractional):
Sr 0.0000 0.0000 0.0000 x2  8 Pd 3.23-3.52
Sr 0.1311 0.5000 0.7008 x4  7 Pd 3.09-3.29, 4 Li 3.20-3.37
Li 0.1830 0.5000 0.3520 x4  4 Pd 2.64-2.70
Pd 0.0885 0.0000 0.4189 x4  3 Li 2.64-2.70, 1 Pd 2.78
Pd 0.2186 0.5000 0.0687 x4  1 Li 2.66, 2 Pd 2.77

Formation energy = -0.48 eV per atom
E above lowest polymorph = 4.1 kJ/mol of atoms

Record 3
## SrLiPd3 (PBE)

Data for a relaxed SrLiPd3 crystal.

Cell lengths 4.5358, 4.5358, 4.5358 Å; angles 90.00, 90.00, 90.00 degrees
With the nearest neighbours (Å) after each atom.
Space group Pm-3m (No. 221)
Symmetry-distinct sites (fractional):
Sr 0.0000 0.0000 0.0000 x1  12 Pd 3.21
Li 0.5000 0.5000 0.5000 x1  6 Pd 2.27
Pd 0.0000 0.5000 0.5000 x3  2 Li 2.27

Formation energy = -0.29 eV per atom
E above lowest polymorph = 5.1 kJ/mol of atoms

no.,raw total energy (eV/cell)
1,-21.763
2,-67.930
3,-20.649